1.
# PBE-GGA LiMg2Ga2Au2, relaxed
data_LiMg2Ga2Au2
_cell_length_a 4.4745
_cell_length_b 4.4745
_cell_length_c 22.2234
_cell_angle_alpha 90.00
_cell_angle_beta 90.00
_cell_angle_gamma 120.00
_symmetry_space_group_name_H-M 'R -3 m'
_symmetry_Int_Tables_number 166
_symmetry_space_group_name_Hall '-R 3 2"'
loop_
_atom_site_label
_atom_site_type_symbol
_atom_site_fract_x
_atom_site_fract_y
_atom_site_fract_z
Li1 Li 0.0000 0.0000 0.0000
Mg1 Mg 0.0000 0.0000 0.1290
Ga1 Ga 0.0000 0.0000 0.3855
Au1 Au 0.0000 0.0000 0.2568
# Formation enthalpy at 0 K in meV/atom: -462
# Raw total energy in eV/atom: -2.992
# N(E_F) in states/eV/atom: 0.2468
# Crystal system: trigonal

2.
# PBE-GGA Li2Mg2GaAu4, relaxed
data_Li2Mg2GaAu4
_cell_length_a 6.546
_cell_length_b 6.546
_cell_length_c 7.703
_cell_angle_alpha 90.00
_cell_angle_beta 90.00
_cell_angle_gamma 90.00
_symmetry_space_group_name_H-M 'I 4/m m m'
_symmetry_Int_Tables_number 139
_symmetry_space_group_name_Hall '-I 4 2'
loop_
_atom_site_label
_atom_site_type_symbol
_atom_site_fract_x
_atom_site_fract_y
_atom_site_fract_z
Li1 Li 0.000 0.000 0.185
Mg1 Mg 0.000 0.500 0.250
Ga1 Ga 0.000 0.000 0.500
Au1 Au 0.230 0.230 0.000
# Formation enthalpy at 0 K in meV/atom: -359
# Raw total energy in eV/atom: -2.932
# N(E_F) in states/eV/atom: 0.3177
# Crystal system: tetragonal

3.
# PBE-GGA Li2MgGa2Au5, relaxed
data_Li2MgGa2Au5
_cell_length_a 9.930
_cell_length_b 9.930
_cell_length_c 3.772
_cell_angle_alpha 90.00
_cell_angle_beta 90.00
_cell_angle_gamma 90.00
_symmetry_space_group_name_H-M 'P 4/m b m'
_symmetry_Int_Tables_number 127
_symmetry_space_group_name_Hall '-P 4 2ab'
loop_
_atom_site_label
_atom_site_type_symbol
_atom_site_fract_x
_atom_site_fract_y
_atom_site_fract_z
Li1 Li 0.165 0.335 0.000
Mg1 Mg 0.000 0.000 0.000
Ga1 Ga 0.136 0.636 0.000
Au1 Au 0.000 0.500 0.500
Au2 Au 0.038 0.795 0.500
# Formation enthalpy at 0 K in meV/atom: -368
# Raw total energy in eV/atom: -3.155
# N(E_F) in states/eV/atom: 0.4320
# Crystal system: tetragonal

4.
# PBE-GGA Li2MnGaAu, relaxed
data_Li2MnGaAu
_cell_length_a 4.623
_cell_length_b 4.623
_cell_length_c 4.747
_cell_angle_alpha 90.00
_cell_angle_beta 90.00
_cell_angle_gamma 90.00
_symmetry_space_group_name_H-M 'P 4/m m m'
_symmetry_Int_Tables_number 123
_symmetry_space_group_name_Hall '-P 4 2'
loop_
_atom_site_label
_atom_site_type_symbol
_atom_site_fract_x
_atom_site_fract_y
_atom_site_fract_z
Li1 Li 0.000 0.500 0.000
Mn1 Mn 0.000 0.000 0.500
Ga1 Ga 0.500 0.500 0.000
Au1 Au 0.500 0.500 0.500
# Formation enthalpy at 0 K in meV/atom: 368
# Raw total energy in eV/atom: -3.493
# N(E_F) in states/eV/atom: 0.5462
# Crystal system: tetragonal

5.
# PBE-GGA Na2LiGaAu2, relaxed
data_Na2LiGaAu2
_cell_length_a 4.665
_cell_length_b 7.637
_cell_length_c 7.342
_cell_angle_alpha 90.00
_cell_angle_beta 90.00
_cell_angle_gamma 90.00
_symmetry_space_group_name_H-M 'P m c 21'
_symmetry_Int_Tables_number 26
_symmetry_space_group_name_Hall 'P 2c -2'
loop_
_atom_site_label
_atom_site_type_symbol
_atom_site_fract_x
_atom_site_fract_y
_atom_site_fract_z
Na1 Na 0.000 0.133 0.000
Na2 Na 0.500 0.156 0.325
Li1 Li 0.500 0.470 0.009
Ga1 Ga 0.000 0.288 0.608
Au1 Au 0.000 0.422 0.287
Au2 Au 0.500 0.222 0.734
# Formation enthalpy at 0 K in meV/atom: -339
# Raw total energy in eV/atom: -2.694
# N(E_F) in states/eV/atom: 0.2752
# Crystal system: orthorhombic

6.
# PBE-GGA NaLiGaAu, relaxed
data_NaLiGaAu
_cell_length_a 6.547
_cell_length_b 6.547
_cell_length_c 6.547
_cell_angle_alpha 90.00
_cell_angle_beta 90.00
_cell_angle_gamma 90.00
_symmetry_space_group_name_H-M 'F -4 3 m'
_symmetry_Int_Tables_number 216
_symmetry_space_group_name_Hall 'F -4 2 3'
loop_
_atom_site_label
_atom_site_type_symbol
_atom_site_fract_x
_atom_site_fract_y
_atom_site_fract_z
Na1 Na 0.000 0.000 0.000
Li1 Li 0.250 0.250 0.750
Ga1 Ga 0.250 0.250 0.250
Au1 Au 0.000 0.000 0.500
# Formation enthalpy at 0 K in meV/atom: -311
# Raw total energy in eV/atom: -2.695
# N(E_F) in states/eV/atom: 0.2135
# Crystal system: cubic

7.
# PBE-GGA Na2LiGa2Au5, relaxed
data_Na2LiGa2Au5
_cell_length_a 10.636
_cell_length_b 10.636
_cell_length_c 3.385
_cell_angle_alpha 90.00
_cell_angle_beta 90.00
_cell_angle_gamma 90.00
_symmetry_space_group_name_H-M 'P 4/m b m'
_symmetry_Int_Tables_number 127
_symmetry_space_group_name_Hall '-P 4 2ab'
loop_
_atom_site_label
_atom_site_type_symbol
_atom_site_fract_x
_atom_site_fract_y
_atom_site_fract_z
Na1 Na 0.171 0.329 0.000
Li1 Li 0.000 0.000 0.000
Ga1 Ga 0.136 0.636 0.000
Au1 Au 0.000 0.500 0.500
Au2 Au 0.060 0.812 0.500
# Formation enthalpy at 0 K in meV/atom: -326
# Raw total energy in eV/atom: -3.025
# N(E_F) in states/eV/atom: 0.3247
# Crystal system: tetragonal

8.
# PBE-GGA NaLi2Ga2Au2, relaxed
data_NaLi2Ga2Au2
_cell_length_a 7.751
_cell_length_b 4.519
_cell_length_c 7.885
_cell_angle_alpha 90.00
_cell_angle_beta 108.92
_cell_angle_gamma 90.00
_symmetry_space_group_name_H-M 'C 1 2/m 1'
_symmetry_Int_Tables_number 12
_symmetry_space_group_name_Hall '-C 2y'
loop_
_atom_site_label
_atom_site_type_symbol
_atom_site_fract_x
_atom_site_fract_y
_atom_site_fract_z
Na1 Na 0.000 0.000 0.000
Li1 Li 0.135 0.000 0.406
Ga1 Ga 0.069 0.500 0.705
Au1 Au 0.249 0.000 0.751
# Formation enthalpy at 0 K in meV/atom: -396
# Raw total energy in eV/atom: -2.932
# N(E_F) in states/eV/atom: 0.5009
# Crystal system: monoclinic

9.
# PBE-GGA LiNd2Ga4Au3, relaxed
data_LiNd2Ga4Au3
_cell_length_a 4.371
_cell_length_b 4.371
_cell_length_c 10.748
_cell_angle_alpha 90.00
_cell_angle_beta 90.00
_cell_angle_gamma 90.00
_symmetry_space_group_name_H-M 'P -4 m 2'
_symmetry_Int_Tables_number 115
_symmetry_space_group_name_Hall 'P -4 -2'
loop_
_atom_site_label
_atom_site_type_symbol
_atom_site_fract_x
_atom_site_fract_y
_atom_site_fract_z
Li1 Li 0.000 0.000 0.000
Nd1 Nd 0.000 0.500 0.750
Ga1 Ga 0.000 0.000 0.500
Ga2 Ga 0.000 0.500 0.131
Ga3 Ga 0.500 0.500 0.500
Au1 Au 0.000 0.500 0.365
Au2 Au 0.500 0.500 0.000
# Formation enthalpy at 0 K in meV/atom: -615
# Raw total energy in eV/atom: -3.953
# N(E_F) in states/eV/atom: 0.5403
# Crystal system: tetragonal

10.
# PBE-GGA LiNdGaAu, relaxed
data_LiNdGaAu
_cell_length_a 7.006
_cell_length_b 7.006
_cell_length_c 7.006
_cell_angle_alpha 90.00
_cell_angle_beta 90.00
_cell_angle_gamma 90.00
_symmetry_space_group_name_H-M 'F -4 3 m'
_symmetry_Int_Tables_number 216
_symmetry_space_group_name_Hall 'F -4 2 3'
loop_
_atom_site_label
_atom_site_type_symbol
_atom_site_fract_x
_atom_site_fract_y
_atom_site_fract_z
Li1 Li 0.000 0.000 0.000
Nd1 Nd 0.000 0.000 0.500
Ga1 Ga 0.250 0.250 0.750
Au1 Au 0.250 0.250 0.250
# Formation enthalpy at 0 K in meV/atom: -545
# Raw total energy in eV/atom: -3.792
# N(E_F) in states/eV/atom: 0.5325
# Crystal system: cubic

11.
# PBE-GGA LiNdGa4Au2, relaxed
data_LiNdGa4Au2
_cell_length_a 4.4412
_cell_length_b 4.4412
_cell_length_c 26.2808
_cell_angle_alpha 90.00
_cell_angle_beta 90.00
_cell_angle_gamma 120.00
_symmetry_space_group_name_H-M 'R -3 m'
_symmetry_Int_Tables_number 166
_symmetry_space_group_name_Hall '-R 3 2"'
loop_
_atom_site_label
_atom_site_type_symbol
_atom_site_fract_x
_atom_site_fract_y
_atom_site_fract_z
Li1 Li 0.0000 0.0000 0.0000
Nd1 Nd 0.0000 0.0000 0.5000
Ga1 Ga 0.0000 0.0000 0.1048
Ga2 Ga 0.0000 0.0000 0.3735
Au1 Au 0.0000 0.0000 0.2668
# Formation enthalpy at 0 K in meV/atom: -470
# Raw total energy in eV/atom: -3.638
# N(E_F) in states/eV/atom: 0.2878
# Crystal system: trigonal

Number 9 is which compound? LiNd2Ga4Au3